[1]
This record from the Alexandria database describes a relaxed structure of Mn2FeCl8. The functional is PBE.

The structure in CIF format:
```
data_Mn2FeCl8
_cell_length_a 13.781
_cell_length_b 7.804
_cell_length_c 6.188
_cell_angle_alpha 90.00
_cell_angle_beta 94.15
_cell_angle_gamma 90.00
_space_group_name_H-M_alt 'C 1 2/m 1'
_space_group_IT_number 12
_space_group_name_Hall '-C 2y'
loop_
_atom_site_label
_atom_site_fract_x
_atom_site_fract_y
_atom_site_fract_z
_atom_site_occupancy
Mn1 0.158 0.000 0.111 1
Fe1 0.000 0.000 0.500 1
Cl1 0.073 0.214 0.284 1
Cl2 0.150 0.000 0.741 1
Cl3 0.185 0.500 0.824 1
```

Values from the calculation:
ρ   2.2 g cm⁻³
Magnetic moment   26.6 μB per cell

---

[2]
This record from the Alexandria database describes a relaxed structure of Ca2DyInCl8. The functional is PBE.

The structure in CIF format:
```
data_Ca2DyInCl8
_cell_length_a 6.401
_cell_length_b 8.711
_cell_length_c 6.642
_cell_angle_alpha 90.00
_cell_angle_beta 90.39
_cell_angle_gamma 90.00
_space_group_name_H-M_alt 'P 1 2/m 1'
_space_group_IT_number 10
_space_group_name_Hall '-P 2y'
loop_
_atom_site_label
_atom_site_fract_x
_atom_site_fract_y
_atom_site_fract_z
_atom_site_occupancy
Ca1 0.000 0.247 0.000 1
Dy1 0.500 0.500 0.500 1
In1 0.500 0.000 0.500 1
Cl1 0.217 0.000 0.862 1
Cl2 0.230 0.500 0.817 1
Cl3 0.270 0.287 0.324 1
```

Values from the calculation:
ρ   2.9 g cm⁻³
Magnetic moment   0.0 μB per cell

---

[3]
This record from the Alexandria database describes a relaxed structure of BeCd2Br. The functional is PBE.

The structure in CIF format:
```
data_BeCd2Br
_cell_length_a 10.851
_cell_length_b 3.289
_cell_length_c 7.270
_cell_angle_alpha 90.00
_cell_angle_beta 125.54
_cell_angle_gamma 90.00
_space_group_name_H-M_alt 'C 1 m 1'
_space_group_IT_number 8
_space_group_name_Hall 'C -2y'
loop_
_atom_site_label
_atom_site_fract_x
_atom_site_fract_y
_atom_site_fract_z
_atom_site_occupancy
Be1 0.000 0.000 0.000 1
Cd1 0.233 0.500 0.194 1
Cd2 0.488 0.000 0.278 1
Br1 0.358 0.000 0.741 1
```

Values from the calculation:
ρ   4.9 g cm⁻³
Magnetic moment   0.0 μB per cell

---

[4]
This record from the Alexandria database describes a relaxed structure of DyHo7Tm2. The functional is PBE.

The structure in CIF format:
```
data_DyHo7Tm2
_cell_length_a 6.072
_cell_length_b 7.022
_cell_length_c 7.842
_cell_angle_alpha 77.08
_cell_angle_beta 75.03
_cell_angle_gamma 73.28
_space_group_name_H-M_alt 'P -1'
_space_group_IT_number 2
_space_group_name_Hall '-P 1'
loop_
_atom_site_label
_atom_site_fract_x
_atom_site_fract_y
_atom_site_fract_z
_atom_site_occupancy
Dy1 0.000 0.000 0.000 1
Ho1 0.000 0.500 0.000 1
Ho2 0.200 0.300 0.600 1
Ho3 0.400 0.100 0.200 1
Ho4 0.400 0.600 0.201 1
Tm1 0.200 0.800 0.600 1
```

Values from the calculation:
ρ   9.0 g cm⁻³
Magnetic moment   0.0 μB per cell
Calculated formation energy   0.02 eV per atom

---

[5]
This record from the Alexandria database describes a relaxed structure of Ca3MgP. The functional is PBE.

The structure in CIF format:
```
data_Ca3MgP
_cell_length_a 5.794
_cell_length_b 5.794
_cell_length_c 24.500
_cell_angle_alpha 90.00
_cell_angle_beta 90.00
_cell_angle_gamma 90.00
_space_group_name_H-M_alt 'I -4 m 2'
_space_group_IT_number 119
_space_group_name_Hall 'I -4 -2'
loop_
_atom_site_label
_atom_site_fract_x
_atom_site_fract_y
_atom_site_fract_z
_atom_site_occupancy
Ca1 0.000 0.000 0.193 1
Ca2 0.000 0.233 0.630 1
Mg1 0.000 0.000 0.500 1
Mg2 0.000 0.500 0.750 1
P1 0.000 0.500 0.141 1
```

Values from the calculation:
ρ   1.4 g cm⁻³
Magnetic moment   0.7 μB per cell
Calculated formation energy   0.31 eV per atom

---

[6]
This record from the Alexandria database describes a relaxed structure of SrCrRu. The functional is PBE.

The structure in CIF format:
```
data_SrCrRu
_cell_length_a 6.572
_cell_length_b 6.572
_cell_length_c 6.572
_cell_angle_alpha 90.00
_cell_angle_beta 90.00
_cell_angle_gamma 90.00
_space_group_name_H-M_alt 'F -4 3 m'
_space_group_IT_number 216
_space_group_name_Hall 'F -4 2 3'
loop_
_atom_site_label
_atom_site_fract_x
_atom_site_fract_y
_atom_site_fract_z
_atom_site_occupancy
Sr1 0.000 0.000 0.000 1
Cr1 0.000 0.000 0.500 1
Ru1 0.250 0.250 0.250 1
```

Values from the calculation:
ρ   5.6 g cm⁻³
Magnetic moment   12.8 μB per cell
Calculated formation energy   0.96 eV per atom

---

[7]
This record from the Alexandria database describes a relaxed structure of Zr3Pt2. The functional is PBE.

The structure in CIF format:
```
data_Zr3Pt2
_cell_length_a 3.4758
_cell_length_b 3.4758
_cell_length_c 30.4691
_cell_angle_alpha 90.00
_cell_angle_beta 90.00
_cell_angle_gamma 120.00
_space_group_name_H-M_alt 'R -3 m'
_space_group_IT_number 166
_space_group_name_Hall '-R 3 2"'
loop_
_atom_site_label
_atom_site_fract_x
_atom_site_fract_y
_atom_site_fract_z
_atom_site_occupancy
Zr1 0.0000 0.0000 0.0000 1
Zr2 0.0000 0.0000 0.2070 1
Pt1 0.0000 0.0000 0.3945 1
```

Values from the calculation:
ρ   10.4 g cm⁻³
Magnetic moment   0.0 μB per cell
Calculated formation energy   -0.52 eV per atom

---

[8]
This record from the Alexandria database describes a relaxed structure of KNa2Ag2. The functional is PBE.

The structure in CIF format:
```
data_KNa2Ag2
_cell_length_a 8.931
_cell_length_b 8.931
_cell_length_c 3.564
_cell_angle_alpha 90.00
_cell_angle_beta 90.00
_cell_angle_gamma 90.00
_space_group_name_H-M_alt 'P 4/m b m'
_space_group_IT_number 127
_space_group_name_Hall '-P 4 2ab'
loop_
_atom_site_label
_atom_site_fract_x
_atom_site_fract_y
_atom_site_fract_z
_atom_site_occupancy
K1 0.000 0.000 0.000 1
Na1 0.164 0.336 0.500 1
Ag1 0.121 0.621 0.000 1
```

Values from the calculation:
ρ   3.5 g cm⁻³
Magnetic moment   0.0 μB per cell
Calculated formation energy   0.05 eV per atom

---

Number 1: E_tot -4.5760 eV per atom. Number 2: E_tot -4.2446 eV per atom. Number 3: E_tot -1.7343 eV per atom. Number 4: E_tot -4.5387 eV per atom. Number 5: E_tot -2.2912 eV per atom. Number 6: E_tot -5.9018 eV per atom. Number 7: E_tot -8.0681 eV per atom. Number 8: E_tot -1.8387 eV per atom.